Computed, not measured: a relaxed structure of Sm4CdInHg2 at the PBE level of DFT.

```
data_Sm4CdInHg2
_chemical_formula_sum 'Sm12 Cd3 In3 Hg6'
_cell_length_a 5.3911
_cell_length_b 5.3911
_cell_length_c 26.4788
_cell_angle_alpha 90.00
_cell_angle_beta 90.00
_cell_angle_gamma 120.00
_space_group_name_H-M_alt 'R -3 m'
_space_group_IT_number 166
_space_group_name_Hall '-R 3 2"'
loop_
_atom_site_label
_atom_site_type_symbol
_atom_site_fract_x
_atom_site_fract_y
_atom_site_fract_z
Sm1 Sm 0.0000 0.0000 0.1249
Sm2 Sm 0.0000 0.0000 0.3750
Cd1 Cd 0.0000 0.0000 0.0000
In1 In 0.0000 0.0000 0.5000
Hg1 Hg 0.0000 0.0000 0.2519
```

Computed properties:
calculated formation energy: -9.9 kcal/mol of atoms
calculated total energy: -79.7 eV/cell